one.
# MgMn2Os2

Crystalline MgMn2Os2 at its relaxed geometry (PBE, the Alexandria database).

```
10
Lattice="7.249 0.000 0.000 0.000 7.249 0.000 0.000 0.000 2.674" Properties=species:S:1:pos:R:3 pbc="T T T"
Mg 0.000 0.000 0.000
Mg 3.624 3.624 0.000
Mn 0.869 2.755 0.000
Mn 2.755 6.380 0.000
Mn 4.493 0.869 0.000
Mn 6.380 4.493 0.000
Os 1.215 4.839 1.337
Os 2.410 1.215 1.337
Os 4.839 6.034 1.337
Os 6.034 2.410 1.337
```

Results
- crystal system = tetragonal
- volume (Å³ per atom) = 14.05
- magnetic moment (μB per cell) = 0.01
- symmetry = No. 127

=====

two.
# MgMn2Os2

Crystalline MgMn2Os2 at its relaxed geometry (PBE, the Alexandria database).

```
10
Lattice="7.340 0.000 0.000 0.000 7.340 0.000 0.000 0.000 2.674" Properties=species:S:1:pos:R:3 pbc="T T T"
Mg 0.000 0.000 0.000
Mg 3.670 3.670 0.000
Mn 1.207 2.463 1.337
Mn 2.463 6.134 1.337
Mn 4.877 1.207 1.337
Mn 6.134 4.877 1.337
Os 0.939 4.609 0.000
Os 2.731 0.939 0.000
Os 4.609 6.401 0.000
Os 6.401 2.731 0.000
```

Results
- crystal system = tetragonal
- volume (Å³ per atom) = 14.41
- magnetic moment (μB per cell) = 4.18
- symmetry = No. 127

=====

List of relative energies, unit meV per atom: one 0; two 18

=====

one.
# MgMnP3

Crystalline MgMnP3 at its relaxed geometry (PBE, the Alexandria database).

```
5
Lattice="4.456 0.000 0.000 0.000 4.456 0.000 0.000 0.000 4.456" Properties=species:S:1:pos:R:3 pbc="T T T"
Mg 0.000 0.000 0.000
Mn 2.228 2.228 2.228
P 0.000 2.228 2.228
P 2.228 0.000 2.228
P 2.228 2.228 0.000
```

Results
- crystal system = cubic
- volume (Å³ per atom) = 17.70
- magnetic moment (μB per cell) = 1.17
- symmetry = No. 221

=====

two.
# MgMnP3

Crystalline MgMnP3 at its relaxed geometry (PBE, the Alexandria database).

```
5
Lattice="4.677 0.000 0.000 0.000 4.677 0.000 0.000 0.000 4.677" Properties=species:S:1:pos:R:3 pbc="T T T"
Mg 0.000 0.000 0.000
Mn 2.338 2.338 2.338
P 0.000 0.000 2.338
P 0.000 2.338 0.000
P 2.338 0.000 0.000
```

Results
- crystal system = cubic
- volume (Å³ per atom) = 20.46
- magnetic moment (μB per cell) = 0.08
- symmetry = No. 221

=====

List of relative energies, unit meV per atom: one 0; two 1268

=====

one.
# MgMn3P

Crystalline MgMn3P at its relaxed geometry (PBE, the Alexandria database).

```
5
Lattice="4.375 0.000 0.000 0.000 4.375 0.000 0.000 0.000 4.375" Properties=species:S:1:pos:R:3 pbc="T T T"
Mg 0.000 0.000 0.000
Mn 0.000 2.187 2.187
Mn 2.187 0.000 2.187
Mn 2.187 2.187 0.000
P 2.187 2.187 2.187
```

Results
- crystal system = cubic
- volume (Å³ per atom) = 16.74
- magnetic moment (μB per cell) = 9.00
- symmetry = No. 221

=====

two.
# MgMn3P

Crystalline MgMn3P at its relaxed geometry (PBE, the Alexandria database).

```
5
Lattice="4.638 0.000 0.000 0.000 4.638 0.000 0.000 0.000 4.638" Properties=species:S:1:pos:R:3 pbc="T T T"
Mg 0.000 0.000 0.000
Mn 0.000 0.000 2.319
Mn 0.000 2.319 0.000
Mn 2.319 0.000 0.000
P 2.319 2.319 2.319
```

Results
- crystal system = cubic
- volume (Å³ per atom) = 19.95
- magnetic moment (μB per cell) = 11.53
- symmetry = No. 221

=====

List of relative energies, unit meV per atom: one 0; two 1306

=====

one.
# MgMnP2S

Crystalline MgMnP2S at its relaxed geometry (PBE, the Alexandria database).

```
5
Lattice="4.169 0.000 0.000 0.000 4.169 0.000 0.000 0.000 5.434" Properties=species:S:1:pos:R:3 pbc="T T T"
Mg 0.000 0.000 0.000
Mn 2.085 2.085 2.717
P 0.000 2.085 2.717
P 2.085 0.000 2.717
S 2.085 2.085 0.000
```

Results
- crystal system = tetragonal
- volume (Å³ per atom) = 18.89
- magnetic moment (μB per cell) = 0.00
- symmetry = No. 123

=====

two.
# MgMnP2S

Crystalline MgMnP2S at its relaxed geometry (PBE, the Alexandria database).

```
5
Lattice="4.715 0.000 0.000 0.000 4.715 0.000 0.000 0.000 4.641" Properties=species:S:1:pos:R:3 pbc="T T T"
Mg 0.000 0.000 0.000
Mn 2.357 2.357 2.320
P 0.000 2.357 0.000
P 2.357 0.000 0.000
S 0.000 0.000 2.320
```

Results
- crystal system = tetragonal
- volume (Å³ per atom) = 20.63
- magnetic moment (μB per cell) = 0.11
- symmetry = No. 123

=====

List of relative energies, unit meV per atom: one 0; two 1293

=====

one.
# MgMnPb2S

Crystalline MgMnPb2S at its relaxed geometry (PBE, the Alexandria database).

```
5
Lattice="5.636 0.000 0.000 0.000 5.636 0.000 0.000 0.000 4.625" Properties=species:S:1:pos:R:3 pbc="T T T"
Mg 0.000 0.000 0.000
Mn 2.818 2.818 0.000
Pb 0.000 2.818 2.313
Pb 2.818 0.000 2.313
S 0.000 0.000 2.313
```

Results
- crystal system = tetragonal
- volume (Å³ per atom) = 29.38
- magnetic moment (μB per cell) = 4.50
- symmetry = No. 123

=====

two.
# MgMnPb2S

Crystalline MgMnPb2S at its relaxed geometry (PBE, the Alexandria database).

```
5
Lattice="5.716 0.000 0.000 0.000 5.716 0.000 0.000 0.000 4.321" Properties=species:S:1:pos:R:3 pbc="T T T"
Mg 0.000 0.000 0.000
Mn 2.858 2.858 0.000
Pb 0.000 2.858 2.160
Pb 2.858 0.000 2.160
S 2.858 2.858 2.160
```

Results
- crystal system = tetragonal
- volume (Å³ per atom) = 28.24
- magnetic moment (μB per cell) = 3.69
- symmetry = No. 123

=====

List of relative energies, unit meV per atom: one 151; two 0

=====

one.
# Mg2MnPd6

Crystalline Mg2MnPd6 at its relaxed geometry (PBE, the Alexandria database).

```
18
Lattice="8.199 0.000 0.000 0.000 8.199 0.000 0.000 0.000 4.146" Properties=species:S:1:pos:R:3 pbc="T T T"
Mg 1.581 1.581 0.000
Mg 2.519 5.681 2.073
Mg 5.681 2.519 2.073
Mg 6.619 6.619 0.000
Mn 0.000 0.000 2.073
Mn 4.100 4.100 0.000
Pd 0.166 2.692 2.073
Pd 1.131 7.069 0.000
Pd 1.408 4.266 0.000
Pd 2.692 0.166 2.073
Pd 2.969 2.969 2.073
Pd 3.934 6.791 0.000
Pd 4.266 1.408 0.000
Pd 5.230 5.230 2.073
Pd 5.508 8.033 2.073
Pd 6.791 3.934 0.000
Pd 7.069 1.131 0.000
Pd 8.033 5.508 2.073
```

Results
- crystal system = tetragonal
- volume (Å³ per atom) = 15.49
- magnetic moment (μB per cell) = 8.39
- symmetry = No. 136

=====

two.
# Mg2MnPd6

Crystalline Mg2MnPd6 at its relaxed geometry (PBE, the Alexandria database).

```
9
Lattice="7.085 -3.697 0.000 7.085 3.697 0.000 -0.563 0.000 2.797" Properties=species:S:1:pos:R:3 pbc="T T T"
Mg 2.273 0.000 0.442
Mg 11.334 0.000 2.356
Mn 6.804 0.000 1.399
Pd 4.544 1.423 0.944
Pd 7.085 2.234 0.000
Pd 9.063 1.423 1.853
Pd 4.544 -1.423 0.944
Pd 7.085 -2.234 0.000
Pd 9.063 -1.423 1.853
```

Results
- crystal system = monoclinic
- volume (Å³ per atom) = 16.28
- magnetic moment (μB per cell) = 4.56
- symmetry = No. 12

=====

List of relative energies, unit meV per atom: one 0; two 157

=====

one.
# MgMnPd6

Crystalline MgMnPd6 at its relaxed geometry (PBE, the Alexandria database).

```
8
Lattice="3.614 2.086 3.192 -3.614 2.086 3.192 0.000 -4.173 3.192" Properties=species:S:1:pos:R:3 pbc="T T T"
Mg 0.000 0.000 0.000
Mn 0.000 0.000 4.789
Pd 0.000 -1.569 2.800
Pd -1.359 0.784 2.800
Pd -1.359 -0.784 6.777
Pd 1.359 0.784 2.800
Pd 1.359 -0.784 6.777
Pd 0.000 1.569 6.777
```

Results
- crystal system = trigonal
- volume (Å³ per atom) = 18.05
- magnetic moment (μB per cell) = 4.30
- symmetry = No. 166

=====

two.
# MgMnPd6

Crystalline MgMnPd6 at its relaxed geometry (PBE, the Alexandria database).

```
8
Lattice="3.943 0.000 0.000 0.000 3.943 0.000 0.000 0.000 7.897" Properties=species:S:1:pos:R:3 pbc="T T T"
Mg 0.000 0.000 0.000
Mn 0.000 0.000 3.949
Pd 0.000 1.972 2.010
Pd 0.000 1.972 5.888
Pd 1.972 0.000 2.010
Pd 1.972 0.000 5.888
Pd 1.972 1.972 0.000
Pd 1.972 1.972 3.949
```

Results
- crystal system = tetragonal
- volume (Å³ per atom) = 15.35
- magnetic moment (μB per cell) = 4.04
- symmetry = No. 123

=====

List of relative energies, unit meV per atom: one 473; two 0

=====

one.
# Mg2MnPd2

Crystalline Mg2MnPd2 at its relaxed geometry (PBE, the Alexandria database).

```
10
Lattice="7.542 0.000 0.000 0.000 7.542 0.000 0.000 0.000 2.960" Properties=species:S:1:pos:R:3 pbc="T T T"
Mg 1.008 2.763 0.000
Mg 2.763 6.534 0.000
Mg 4.778 1.008 0.000
Mg 6.534 4.778 0.000
Mn 0.000 0.000 0.000
Mn 3.771 3.771 0.000
Pd 1.249 5.020 1.480
Pd 2.521 1.249 1.480
Pd 5.020 6.292 1.480
Pd 6.292 2.521 1.480
```

Results
- crystal system = tetragonal
- volume (Å³ per atom) = 16.84
- magnetic moment (μB per cell) = 8.68
- symmetry = No. 127

=====

two.
# Mg2MnPd2

Crystalline Mg2MnPd2 at its relaxed geometry (PBE, the Alexandria database).

```
10
Lattice="6.807 0.000 0.000 0.000 6.807 0.000 0.000 0.000 3.784" Properties=species:S:1:pos:R:3 pbc="T T T"
Mg 1.097 2.306 0.000
Mg 2.306 5.710 0.000
Mg 4.500 1.097 0.000
Mg 5.710 4.500 0.000
Mn 0.000 0.000 1.892
Mn 3.403 3.403 1.892
Pd 0.966 4.370 1.892
Pd 2.437 0.966 1.892
Pd 4.370 5.841 1.892
Pd 5.841 2.437 1.892
```

Results
- crystal system = tetragonal
- volume (Å³ per atom) = 17.53
- magnetic moment (μB per cell) = 7.89
- symmetry = No. 127

=====

List of relative energies, unit meV per atom: one 85; two 0